1.
Material: RbBa2HoI8
Method: DFT, PBE
State: relaxed

a = 7.887 Å, b = 7.609 Å, c = 10.529 Å
α = 89.95°, β = 89.99°, γ = 90.31°
Positions (direct):
I 0.145 0.770 0.794
I 0.145 0.769 0.207
I 0.855 0.230 0.206
I 0.609 0.753 0.500
Ba 0.500 0.500 0.757
I 0.391 0.247 0.500
I 0.855 0.231 0.793
Ba 0.500 0.500 0.243
I 0.675 0.769 0.000
Rb 0.000 0.000 0.500
Ho 0.000 0.000 0.000
I 0.325 0.231 0.000

Computed properties:
Calculated total energy, eV/atom: -3.380
Formation energy from raw total energies, eV/atom: -1.564
Density, Mg/m³: 4.0
SG: No. 2

***

2.
Material: BaHo2In
Method: DFT, PBE
State: relaxed

a = 3.663 Å, b = 3.663 Å, c = 12.218 Å
α = 81.38°, β = 81.38°, γ = 60.00°
Last column: magnetic moment on the atom in μB.
Positions (direct):
Ho 0.899 0.899 0.303  0.01
Ho 0.101 0.101 0.697  0.01
Ba 0.000 0.000 0.000  0.07
In 0.500 0.500 0.500  0.00

Computed properties:
Calculated total energy, eV/atom: -3.359
DFT formation energy, eV/f.u.: 0.4
Density, Mg/m³: 6.9
Distance to the lowest polymorph of the same formula, eV per formula unit: 0.75
SG: No. 166

***

3.
Material: BaHo2In3
Method: DFT, PBE
State: relaxed

a = 3.862 Å, b = 3.862 Å, c = 12.055 Å
α = 90.00°, β = 90.00°, γ = 90.00°
Positions (direct):
Ba 0.500 0.500 0.500
In 0.000 0.000 0.296
In 0.000 0.000 0.704
Ho 0.500 0.500 0.849
In 0.000 0.000 0.000
Ho 0.500 0.500 0.151

Computed properties:
Calculated total energy, eV/atom: -3.643
DFT formation energy, eV/f.u.: -2.6
Density, Mg/m³: 7.5
SG: No. 123

***

4.
Material: BaHo2In
Method: DFT, PBE
State: relaxed

a = 3.707 Å, b = 3.707 Å, c = 10.077 Å
α = 90.00°, β = 90.00°, γ = 90.00°
Positions (direct):
Ho 0.000 0.000 0.191
In 0.500 0.500 0.000
Ho 0.000 0.000 0.809
Ba 0.500 0.500 0.500

Computed properties:
Calculated total energy, eV/atom: -3.547
DFT formation energy, eV/f.u.: -0.4
Density, Mg/m³: 7.0
Distance to the lowest polymorph of the same formula, eV per formula unit: 0.00
SG: No. 123

***

5.
Material: BaLiHoIn
Method: DFT, PBE
State: relaxed

a = 5.653 Å, b = 5.653 Å, c = 5.653 Å
α = 60.00°, β = 60.00°, γ = 60.00°
Positions (direct):
In 0.250 0.250 0.250
Ho 0.000 0.000 0.000
Ba 0.500 0.500 0.500
Li 0.750 0.750 0.750

Computed properties:
Calculated total energy, eV/atom: -2.885
DFT formation energy, eV/f.u.: -0.4
Density, Mg/m³: 5.5
SG: No. 216

***

6.
Material: BaHoMg2In4
Method: DFT, PBE
State: relaxed

a = 4.958 Å, b = 4.958 Å, c = 11.379 Å
α = 77.42°, β = 77.42°, γ = 60.00°
Positions (direct):
Ho 0.500 0.500 0.500
In 0.600 0.600 0.201
Mg 0.233 0.233 0.301
Mg 0.767 0.767 0.699
In 0.876 0.876 0.372
In 0.124 0.124 0.628
Ba 0.000 0.000 0.000
In 0.400 0.400 0.799

Computed properties:
Calculated total energy, eV/atom: -2.885
DFT formation energy, eV/f.u.: -2.4
Density, Mg/m³: 5.7
SG: No. 166

***

7.
Material: BaNaHoIn
Method: DFT, PBE
State: relaxed

a = 5.774 Å, b = 5.774 Å, c = 5.774 Å
α = 60.00°, β = 60.00°, γ = 60.00°
Positions (direct):
Na 0.250 0.250 0.250
In 0.750 0.750 0.750
Ba 0.500 0.500 0.500
Ho 0.000 0.000 0.000

Computed properties:
Calculated total energy, eV/atom: -2.686
DFT formation energy, eV/f.u.: -0.2
Density, Mg/m³: 5.4
SG: No. 216

***

8.
Material: BaHo4In3O12
Method: DFT, PBE
State: relaxed

a = 7.275 Å, b = 7.275 Å, c = 7.275 Å
α = 109.47°, β = 109.47°, γ = 109.47°
Last column: magnetic moment on the atom in μB.
Positions (direct):
In 0.000 0.500 0.500  0.00
O 0.829 0.515 0.686  0.08
O 0.686 0.171 0.858  0.08
Ho 0.500 0.500 0.500  0.00
O 0.829 0.142 0.314  0.08
O 0.314 0.171 0.485  0.08
Ba 0.000 0.000 0.000  0.00
O 0.171 0.858 0.686  0.08
O 0.171 0.485 0.314  0.08
O 0.858 0.686 0.171  0.08
O 0.485 0.314 0.171  0.08
In 0.500 0.000 0.500  0.00
Ho 0.500 0.000 0.000  0.00
Ho 0.000 0.500 0.000  0.00
O 0.515 0.686 0.829  0.08
O 0.686 0.829 0.515  0.08
O 0.314 0.829 0.142  0.08
In 0.500 0.500 0.000  0.00
Ho 0.000 0.000 0.500  0.00
O 0.142 0.314 0.829  0.08

Computed properties:
Calculated total energy, eV/atom: -6.926
Formation energy from raw total energies, eV/atom: -2.528
Density, Mg/m³: 7.5
SG: No. 204

***

9.
Material: Ba3HoIn2O8
Method: DFT, PBE
State: relaxed

a = 6.178 Å, b = 6.178 Å, c = 7.869 Å
α = 90.00°, β = 90.00°, γ = 120.00°
Last column: magnetic moment on the atom in μB.
Positions (direct):
In 0.333 0.667 0.197  0.00
O 0.333 0.667 0.944  0.14
O 0.327 0.163 0.675  0.12
O 0.163 0.327 0.325  0.12
O 0.673 0.837 0.325  0.12
O 0.837 0.673 0.675  0.12
O 0.163 0.837 0.325  0.12
O 0.667 0.333 0.056  0.14
Ho 0.000 0.000 0.500  -0.01
In 0.667 0.333 0.803  0.00
O 0.837 0.163 0.675  0.12
Ba 0.667 0.333 0.366  -0.01
Ba 0.333 0.667 0.634  -0.01
Ba 0.000 0.000 0.000  0.00

Computed properties:
Calculated total energy, eV/atom: -6.160
Formation energy from raw total energies, eV/atom: -2.196
Density, Mg/m³: 6.0
SG: No. 164

***

10.
Material: BaHoInS4
Method: DFT, PBE
State: relaxed

a = 6.861 Å, b = 6.962 Å, c = 8.505 Å
α = 90.00°, β = 107.17°, γ = 90.00°
Positions (direct):
S 0.464 0.750 0.151
S 0.990 0.008 0.288
S 0.990 0.492 0.288
S 0.010 0.508 0.712
S 0.536 0.250 0.849
S 0.502 0.750 0.602
Ho 0.796 0.750 0.450
Ba 0.759 0.750 0.948
S 0.498 0.250 0.398
S 0.010 0.992 0.712
Ho 0.204 0.250 0.550
In 0.748 0.250 0.665
Ba 0.241 0.250 0.052
In 0.252 0.750 0.335

Computed properties:
Calculated total energy, eV/atom: -5.156
Formation energy from raw total energies, eV/atom: -1.478
Density, Mg/m³: 4.7
SG: No. 11

***

11.
Material: Ba2HoInS5
Method: DFT, PBE
State: relaxed

a = 4.144 Å, b = 9.395 Å, c = 13.021 Å
α = 90.00°, β = 90.00°, γ = 102.74°
Positions (direct):
Ba 0.116 0.233 0.683
S 0.645 0.291 0.503
S 0.290 0.579 0.657
S 0.947 0.894 0.552
S 0.687 0.373 0.877
S 0.313 0.627 0.377
In 0.447 0.894 0.443
S 0.355 0.709 0.003
S 0.710 0.421 0.157
Ho 0.788 0.575 0.521
In 0.553 0.106 0.943
S 0.053 0.106 0.052
S 0.504 0.008 0.275
Ba 0.867 0.734 0.814
Ba 0.133 0.266 0.314
Ho 0.212 0.425 0.021
Ba 0.884 0.767 0.183
S 0.496 0.992 0.775

Computed properties:
Calculated total energy, eV/atom: -5.250
Formation energy from raw total energies, eV/atom: -1.716
Density, Mg/m³: 4.8
SG: No. 36

***

12.
Material: BaHoTlIn
Method: DFT, PBE
State: relaxed

a = 5.696 Å, b = 5.696 Å, c = 5.696 Å
α = 60.00°, β = 60.00°, γ = 60.00°
Positions (direct):
In 0.250 0.250 0.250
Ho 0.000 0.000 0.000
Ba 0.500 0.500 0.500
Tl 0.750 0.750 0.750

Computed properties:
Calculated total energy, eV/atom: -3.174
DFT formation energy, eV/f.u.: -1.1
Density, Mg/m³: 7.9
SG: No. 216

***

13.
Material: BaHoIr
Method: DFT, PBE
State: relaxed

a = 5.082 Å, b = 3.595 Å, c = 14.269 Å
α = 90.00°, β = 90.00°, γ = 134.99°
Positions (direct):
Ba 0.698 0.396 0.366
Ir 0.690 0.381 0.000
Ir 0.198 0.397 0.500
Ho 0.191 0.382 0.892
Ho 0.191 0.382 0.108
Ba 0.698 0.396 0.634

Computed properties:
Calculated total energy, eV/atom: -5.344
DFT formation energy, eV/f.u.: -0.7
Density, Mg/m³: 8.9
SG: No. 38

***

14.
Material: BaHo3Ir
Method: DFT, PBE
State: relaxed

a = 5.536 Å, b = 5.536 Å, c = 5.536 Å
α = 90.00°, β = 90.00°, γ = 90.00°
Positions (direct):
Ho 0.000 0.500 0.000
Ho 0.500 0.000 0.000
Ir 0.000 0.000 0.000
Ho 0.000 0.000 0.500
Ba 0.500 0.500 0.500

Computed properties:
Calculated total energy, eV/atom: -5.237
DFT formation energy, eV/f.u.: -1.7
Density, Mg/m³: 8.1
SG: No. 221

***

15.
Material: BaHoIrO6
Method: DFT, PBE
State: relaxed

a = 5.601 Å, b = 5.601 Å, c = 5.662 Å
α = 90.00°, β = 90.00°, γ = 60.00°
Last column: magnetic moment on the atom in μB.
Positions (direct):
O 0.354 0.605 0.305  0.12
Ba 0.000 0.000 0.000  0.02
O 0.041 0.354 0.305  0.12
O 0.605 0.041 0.305  0.12
O 0.605 0.354 0.695  0.12
Ir 0.333 0.333 0.500  1.00
O 0.354 0.042 0.695  0.12
Ho 0.667 0.667 0.500  0.07
O 0.041 0.605 0.695  0.12

Computed properties:
Calculated total energy, eV/atom: -6.913
Formation energy from raw total energies, eV/atom: -1.901
Density, Mg/m³: 6.4
SG: No. 149

***

16.
Material: BaHo2IrO8
Method: DFT, PBE
State: relaxed

a = 5.242 Å, b = 4.330 Å, c = 7.257 Å
α = 72.89°, β = 91.52°, γ = 92.28°
Last column: magnetic moment on the atom in μB.
Positions (direct):
O 0.037 0.360 0.758  0.12
O 0.695 0.165 0.099  0.03
Ho 0.473 0.378 0.811  0.01
O 0.760 0.794 0.868  0.11
O 0.503 0.321 0.508  0.01
Ba 0.000 0.000 0.500  0.01
O 0.305 0.835 0.901  0.03
O 0.497 0.679 0.492  0.01
O 0.963 0.640 0.242  0.12
Ir 0.000 0.000 0.000  0.66
Ho 0.527 0.622 0.189  0.01
O 0.240 0.206 0.132  0.11

Computed properties:
Calculated total energy, eV/atom: -7.087
Formation energy from raw total energies, eV/atom: -2.120
Density, Mg/m³: 8.3
SG: No. 2

***

17.
Material: Ba3HoIrRuO9
Method: DFT, PBE
State: relaxed

a = 5.945 Å, b = 5.945 Å, c = 14.654 Å
α = 90.00°, β = 90.00°, γ = 120.00°
Last column: magnetic moment on the atom in μB.
Positions (direct):
O 0.490 0.979 0.250  0.06
O 0.648 0.824 0.086  -0.01
O 0.824 0.648 0.586  -0.01
Ba 0.667 0.333 0.094  0.00
O 0.824 0.648 0.912  0.08
O 0.979 0.490 0.750  0.06
O 0.510 0.490 0.750  0.06
Ru 0.667 0.333 0.837  1.03
O 0.176 0.824 0.412  0.08
O 0.176 0.352 0.086  -0.01
Ba 0.000 0.000 0.750  0.01
Ru 0.333 0.667 0.337  1.03
Ir 0.667 0.333 0.664  -0.07
O 0.490 0.510 0.250  0.06
O 0.824 0.176 0.586  -0.01
Ba 0.667 0.333 0.409  0.01
O 0.352 0.176 0.586  -0.01
Ir 0.333 0.667 0.164  -0.07
O 0.648 0.824 0.412  0.08
Ho 0.000 0.000 0.501  -0.01
O 0.824 0.176 0.912  0.08
O 0.021 0.510 0.250  0.06
O 0.176 0.352 0.412  0.08
Ho 0.000 0.000 0.001  -0.01
O 0.352 0.176 0.912  0.08
O 0.176 0.824 0.086  -0.01
Ba 0.333 0.667 0.594  0.00
Ba 0.333 0.667 0.909  0.01
O 0.510 0.021 0.750  0.06
Ba 0.000 0.000 0.250  0.01

Computed properties:
Calculated total energy, eV/atom: -7.045
Formation energy from raw total energies, eV/atom: -2.172
Density, Mg/m³: 7.5
SG: No. 186

***

18.
Material: KBa2Ho
Method: DFT, PBE
State: relaxed

a = 3.928 Å, b = 3.928 Å, c = 15.252 Å
α = 82.60°, β = 82.60°, γ = 60.00°
Positions (direct):
K 0.500 0.500 0.500
Ba 0.921 0.921 0.236
Ba 0.079 0.079 0.764
Ho 0.000 0.000 0.000

Computed properties:
Calculated total energy, eV/atom: -1.980
DFT formation energy, eV/f.u.: 1.6
Density, Mg/m³: 3.9
SG: No. 166

***

19.
Material: BaLa2Ho
Method: DFT, PBE
State: relaxed

a = 3.718 Å, b = 3.718 Å, c = 13.450 Å
α = 82.06°, β = 82.06°, γ = 60.00°
Positions (direct):
La 0.906 0.906 0.282
Ho 0.500 0.500 0.500
Ba 0.000 0.000 0.000
La 0.094 0.094 0.718

Computed properties:
Calculated total energy, eV/atom: -3.903
DFT formation energy, eV/f.u.: 0.7
Density, Mg/m³: 6.1
Distance to the lowest polymorph of the same formula, eV per formula unit: 0.32
SG: No. 166

***

20.
Material: BaLaHo
Method: DFT, PBE
State: relaxed

a = 3.852 Å, b = 3.852 Å, c = 8.743 Å
α = 102.73°, β = 102.73°, γ = 90.00°
Positions (direct):
Ba 0.997 0.997 0.994
La 0.684 0.684 0.367
Ho 0.319 0.319 0.639

Computed properties:
Calculated total energy, eV/atom: -3.650
DFT formation energy, eV/f.u.: 0.5
Density, Mg/m³: 5.9
Distance to the lowest polymorph of the same formula, eV per formula unit: 0.00
SG: No. 107

***

21.
Material: BaLaHo
Method: DFT, PBE
State: relaxed

a = 3.828 Å, b = 3.828 Å, c = 9.563 Å
α = 90.00°, β = 90.00°, γ = 120.00°
Positions (direct):
Ba 0.000 0.000 0.008
Ho 0.667 0.333 0.351
La 0.333 0.667 0.641

Computed properties:
Calculated total energy, eV/atom: -3.637
DFT formation energy, eV/f.u.: 0.5
Density, Mg/m³: 6.0
Distance to the lowest polymorph of the same formula, eV per formula unit: 0.04
SG: No. 156

***

22.
Material: BaLa2Ho
Method: DFT, PBE
State: relaxed

a = 3.816 Å, b = 3.816 Å, c = 10.960 Å
α = 90.00°, β = 90.00°, γ = 90.00°
Positions (direct):
Ba 0.500 0.500 0.500
La 0.000 0.000 0.215
Ho 0.500 0.500 0.000
La 0.000 0.000 0.785

Computed properties:
Calculated total energy, eV/atom: -3.983
DFT formation energy, eV/f.u.: 0.4
Density, Mg/m³: 6.0
Distance to the lowest polymorph of the same formula, eV per formula unit: 0.00
SG: No. 123

***

23.
Material: Ba2LaHo3O8
Method: DFT, PBE
State: relaxed

a = 7.013 Å, b = 7.013 Å, c = 7.337 Å
α = 61.45°, β = 61.45°, γ = 60.00°
Positions (direct):
Ho 0.007 0.498 0.998
O 0.249 0.249 0.811
Ba 0.123 0.123 0.632
O 0.276 0.758 0.208
O 0.758 0.276 0.208
Ho 0.498 0.007 0.998
Ho 0.498 0.498 0.998
O 0.736 0.736 0.792
O 0.249 0.691 0.811
Ba 0.499 0.499 0.503
La 0.884 0.884 0.349
O 0.691 0.249 0.811
O 0.758 0.758 0.208
O 0.269 0.269 0.192

Computed properties:
Calculated total energy, eV/atom: -7.631
Formation energy from raw total energies, eV/atom: -3.191
Density, Mg/m³: 6.6
SG: No. 160